Crystalline Ce2ThIn9 at its relaxed geometry, computed with GGA-PBE.

Summary:
density: 8.13 Mg/m³
DFT total energy: -4.054 eV/atom
magnetic moment: 0.143 μB/atom
formation energy from the elements: -392.5 meV per atom

a b c (Å): 4.721 4.721 14.165
angles (deg): 90.00 90.00 90.00
Space group P4/mmm (No. 123)
Asymmetric unit:
Ce (0.000, 0.000, 0.166) x2
Th (0.000, 0.000, 0.500) x1
In (0.000, 0.500, 0.000) x2
In (0.000, 0.500, 0.331) x4
In (0.500, 0.500, 0.165) x2
In (0.500, 0.500, 0.500) x1


Crystalline CeThIn2 at its relaxed geometry, computed with GGA-PBE.

Summary:
density: 8.89 Mg/m³
DFT total energy: -5.032 eV/atom
magnetic moment: 0.217 μB/atom
formation energy from the elements: -324.3 meV per atom

a b c (Å): 3.475 3.475 9.307
angles (deg): 90.00 90.00 90.00
Space group P4/mmm (No. 123)
Asymmetric unit:
Ce (0.000, 0.000, 0.000) x1
Th (0.000, 0.000, 0.500) x1
In (0.500, 0.500, 0.247) x2


Crystalline Ce2ThIn6 at its relaxed geometry, computed with GGA-PBE.

Summary:
density: 7.51 Mg/m³
DFT total energy: -4.115 eV/atom
magnetic moment: 0.295 μB/atom
formation energy from the elements: -146.3 meV per atom

a b c (Å): 4.632 7.647 14.988
angles (deg): 90.00 90.00 90.00
Space group Immm (No. 71)
Asymmetric unit:
Ce (0.000, 0.000, 0.123) x4
Th (0.000, 0.500, 0.000) x2
In (0.000, 0.193, 0.315) x8
In (0.000, 0.305, 0.500) x4


What did the first record say?
Crystalline Ce2ThIn9 at its relaxed geometry, computed with GGA-PBE.

Summary:
density: 8.13 Mg/m³
DFT total energy: -4.054 eV/atom
magnetic moment: 0.143 μB/atom
formation energy from the elements: -392.5 meV per atom

a b c (Å): 4.721 4.721 14.165
angles (deg): 90.00 90.00 90.00
Space group P4/mmm (No. 123)
Asymmetric unit:
Ce (0.000, 0.000, 0.166) x2
Th (0.000, 0.000, 0.500) x1
In (0.000, 0.500, 0.000) x2
In (0.000, 0.500, 0.331) x4
In (0.500, 0.500, 0.165) x2
In (0.500, 0.500, 0.500) x1